1.
The following is a SCAN calculation of a PBEsol-optimized structure of ZrCSe3, from Alexandria via LeMat-Bulk.

Cell: 4.3578 4.3578 4.3578 Å, 90.00 90.00 90.00°
Closest atoms and distances in Å follow each position.
Fractional positions:
1 Zr 0.0000 0.0000 0.0000  12 Se 3.08
2 C 0.5000 0.5000 0.5000  6 Se 2.18
3 Se 0.0000 0.5000 0.5000  2 C 2.18
4 Se 0.5000 0.0000 0.5000  2 C 2.18
5 Se 0.5000 0.5000 0.0000  2 C 2.18

Computed properties:
Density of states at the Fermi level, states/eV/cell: 2.24
Volume, Å³/f.u.: 83
Calculated density, g/cm3: 6.8
Energy, eV per atom: -19.7458
Spin magnetization, μB/atom: 0.000



2.
The following is a SCAN calculation of a PBEsol-optimized structure of Zr2C2Se, from Alexandria via LeMat-Bulk.

Cell: 6.5403 6.5403 6.5403 Å, 148.20 148.20 45.58°
Closest atoms and distances in Å follow each position.
Fractional positions:
1 Zr 0.1472 0.1472 0.0000  4 C 2.18
2 Zr 0.8528 0.8528 0.0000  4 C 2.18
3 C 0.2500 0.7500 0.5000  4 Zr 2.18
4 C 0.7500 0.2500 0.5000  4 Zr 2.18
5 Se 0.5000 0.5000 0.0000  8 Zr 3.09

Computed properties:
Density of states at the Fermi level, states/eV/cell: 1.65
Volume, Å³/f.u.: 77
Calculated density, g/cm3: 6.1
Energy, eV per atom: -20.6142
Spin magnetization, μB/atom: 0.000



3.
The following is a SCAN calculation of a PBEsol-optimized structure of Si2C, from Alexandria via LeMat-Bulk.

Cell: 8.3256 8.3256 2.7548 Å, 90.00 90.00 160.04°
Closest atoms and distances in Å follow each position.
Fractional positions:
1 Si 0.0686 0.9314 0.7500  4 C 2.13
2 Si 0.3009 0.6991 0.2500  2 C 1.97
3 Si 0.6991 0.3009 0.7500  2 C 1.97
4 Si 0.9314 0.0686 0.2500  4 C 2.13
5 C 0.3865 0.6135 0.7500  6 Si 1.97-2.13
6 C 0.6135 0.3865 0.2500  6 Si 1.97-2.13

Computed properties:
Density of states at the Fermi level, states/eV/cell: 1.27
Volume, Å³/f.u.: 33
Calculated density, g/cm3: 3.5
Energy above the most stable polymorph in this dataset, eV/atom: 0.361
Energy, eV per atom: -9.2370
Spin magnetization, μB/atom: 0.000



4.
The following is a SCAN calculation of a PBEsol-optimized structure of SiC2, from Alexandria via LeMat-Bulk.

Cell: 3.1576 3.1576 6.8770 Å, 90.00 90.00 90.00°
Closest atoms and distances in Å follow each position.
Fractional positions:
1 Si 0.0000 0.0000 0.2500  4 C 1.89
2 Si 0.0000 0.0000 0.7500  4 C 1.89
3 C 0.0000 0.5000 0.0992  1 C 1.36
4 C 0.0000 0.5000 0.9008  1 C 1.36
5 C 0.5000 0.0000 0.4008  1 C 1.36
6 C 0.5000 0.0000 0.5992  1 C 1.36

Computed properties:
Density of states at the Fermi level, states/eV/cell: 0.73
Volume, Å³/f.u.: 34
Calculated density, g/cm3: 2.5
Energy above the most stable polymorph in this dataset, eV/atom: 0.000
Energy, eV per atom: -9.6839
Spin magnetization, μB/atom: 0.000